No. 1
RbTe4As2Au, optimized geometry, DFT PBE; magnetization = 0.0 Bohr magnetons per cell; E_form (uncorrected) = -56 meV/atom; total energy = -3.32 eV per atom
1.0
-3.0087 4.2288 4.9598
3.0087 -4.2288 4.9598
3.0087 4.2288 -4.9598
Rb Te As Au
1 4 2 1
direct
0.0000 0.0000 0.0000 Rb
0.0690 0.1662 0.6421 Te
0.4759 0.8338 0.9027 Te
0.5241 0.4268 0.3579 Te
0.9310 0.5732 0.0973 Te
0.3721 0.8721 0.5000 As
0.6279 0.1279 0.5000 As
0.5000 0.5000 0.0000 Au



No. 2
RbTlAs2Au4, optimized geometry, DFT PBE; magnetization = 0.0 Bohr magnetons per cell; formation energy = -0.130 eV per atom; total energy = -3.35 eV per atom
1.0
4.6682 0.0000 0.0000
0.0000 4.6682 0.0000
0.0000 0.0000 10.1656
Rb Tl As Au
1 1 2 4
direct
0.0000 0.0000 0.0000 Rb
0.0000 0.0000 0.5000 Tl
0.5000 0.5000 0.2013 As
0.5000 0.5000 0.7987 As
0.0000 0.5000 0.2966 Au
0.0000 0.5000 0.7034 Au
0.5000 0.0000 0.2966 Au
0.5000 0.0000 0.7034 Au



No. 3
Rb3Tl4As2Au2, optimized geometry, DFT PBE; magnetization = 0.0 Bohr magnetons per cell; formation energy = -0.151 eV per atom; total energy = -2.72 eV per atom
1.0
4.9951 0.0000 0.0000
-2.4976 4.3259 0.0000
0.0000 0.0000 18.5046
Rb Tl As Au
3 4 2 2
direct
0.0000 0.0000 0.0000 Rb
0.0000 0.0000 0.2838 Rb
0.0000 0.0000 0.7162 Rb
0.3333 0.6667 0.4380 Tl
0.3333 0.6667 0.8590 Tl
0.6667 0.3333 0.1410 Tl
0.6667 0.3333 0.5620 Tl
0.3333 0.6667 0.1406 As
0.6667 0.3333 0.8594 As
0.3333 0.6667 0.5968 Au
0.6667 0.3333 0.4032 Au